(1)
A plane-wave DFT calculation with PBE was carried out for a relaxed structure of ErZr2Al3Cu2Ni.

```
ErZr2Al3Cu2Ni
1.0
3.998 0.000 0.000
0.000 5.765 3.347
0.000 -5.765 3.347
Al Cu Er Ni Zr
3 2 1 1 2
Cartesian
1.999 4.349 4.125
1.999 0.000 5.114
1.999 -4.349 4.125
1.999 1.950 3.357
1.999 -1.950 3.357
0.000 0.000 2.753
0.000 0.000 6.654
0.000 3.408 1.992
0.000 -3.408 1.992
```

Calculated values
Total energy (eV per atom): -5.604

***

(2)
A plane-wave DFT calculation with PBE was carried out for a relaxed structure of Li8Tb4O11.

```
Li8Tb4O11
1.0
-5.271 -10.431 -0.202
-2.660 5.234 -0.125
1.609 0.004 -4.745
Li O Tb
8 11 4
Cartesian
-5.314 -5.265 -0.228
-2.570 0.227 -0.350
-6.759 -5.066 -2.407
-2.104 -1.250 -2.280
-4.479 -6.556 -2.537
-1.813 1.154 -2.585
-4.538 -3.989 -2.699
-2.239 -5.275 -2.794
-2.778 -1.645 -0.485
-3.442 -5.327 -1.315
-6.127 -6.770 -1.427
-6.041 -3.405 -1.518
-3.291 1.724 -1.415
-0.734 0.107 -1.464
-3.011 -0.120 -3.530
-2.891 -3.582 -3.692
-2.878 -6.952 -3.744
-5.607 -5.140 -3.914
-0.652 1.788 -3.975
-5.370 -8.604 -0.281
-2.816 3.715 -0.260
-3.499 -1.815 -4.933
-0.957 -3.808 -4.828
```

Calculated values
Total energy (eV per atom): -6.166

***

(3)
A plane-wave DFT calculation with PBE was carried out for a relaxed structure of Dy2ErIn3CuPt2.

```
Dy2ErIn3CuPt2
1.0
3.722 0.000 0.000
0.000 6.693 3.870
0.000 -6.693 3.870
Cu Dy Er In Pt
1 2 1 3 2
Cartesian
0.000 0.000 7.736
0.000 2.751 1.590
0.000 -2.751 1.590
0.000 0.000 4.558
1.861 0.000 1.976
1.861 1.704 6.751
1.861 -1.704 6.751
1.861 2.217 3.873
1.861 -2.217 3.873
```

Calculated values
Total energy (eV per atom): -5.041

***

(4)
A plane-wave DFT calculation with PBE was carried out for a relaxed structure of Y2HoMg3Tl2Hg.

```
Y2HoMg3Tl2Hg
1.0
-3.026 0.088 3.446
5.060 3.448 4.356
-4.695 4.069 -4.227
Hg Ho Mg Tl Y
1 1 3 2 2
Cartesian
0.364 7.507 0.129
0.211 4.349 0.075
-1.426 1.836 1.754
-0.031 6.591 2.858
-2.353 6.739 0.815
0.289 3.702 3.212
-2.950 3.908 0.363
2.135 1.456 1.838
-1.981 1.718 -1.783
```

Calculated values
Total energy (eV per atom): -3.407

***

(5)
A plane-wave DFT calculation with PBE was carried out for a relaxed structure of SrInGePt2.

```
SrInGePt2
1.0
4.629 0.000 0.000
0.000 4.516 0.000
-0.143 0.000 10.452
Ge In Pt Sr
2 2 4 2
Cartesian
0.956 1.129 1.130
3.530 3.387 9.322
3.383 1.129 5.204
1.104 3.387 5.248
1.380 3.387 0.048
1.056 1.129 3.610
3.430 3.387 6.842
3.106 1.129 10.404
3.430 3.387 2.464
1.056 1.129 7.988
```

Calculated values
Total energy (eV per atom): -5.009

***

(6)
A plane-wave DFT calculation with PBE was carried out for a relaxed structure of Zr4Sc2Cu3C3.

```
Zr4Sc2Cu3C3
1.0
4.973 -2.873 0.000
4.973 2.873 0.000
-3.441 0.000 13.840
C Cu Sc Zr
6 6 4 8
Cartesian
2.487 -1.436 0.000
4.141 1.441 0.004
4.085 1.441 6.916
0.766 1.436 6.920
2.420 -1.441 6.924
2.364 -1.441 13.836
6.546 0.918 3.459
4.113 2.404 3.460
1.680 0.918 3.462
4.826 -0.918 10.379
2.392 -2.404 10.380
-0.041 -0.918 10.382
4.174 -0.464 1.385
4.052 -0.464 5.535
2.453 0.464 8.306
2.331 0.464 12.455
0.824 -0.510 1.222
7.425 -0.468 1.222
0.801 -0.468 5.698
7.402 -0.510 5.698
-0.897 0.510 8.142
5.704 0.468 8.142
-0.920 0.468 12.618
5.682 0.510 12.618
```

Calculated values
Total energy (eV per atom): -7.501

***

(7)
A plane-wave DFT calculation with PBE was carried out for a relaxed structure of NaPrO2F.

```
NaPrO2F
1.0
6.236 0.000 0.000
0.000 8.248 0.000
0.000 0.000 5.855
F Na O Pr
4 4 8 4
Cartesian
5.645 2.062 1.075
2.527 2.062 1.852
3.709 6.186 4.002
0.591 6.186 4.780
2.782 6.186 0.213
5.900 6.186 2.715
0.336 2.062 3.140
3.454 2.062 5.642
4.458 4.985 1.222
4.458 7.387 1.222
1.340 4.985 1.705
1.340 7.387 1.705
4.896 0.861 4.150
4.896 3.263 4.150
1.778 0.861 4.632
1.778 3.263 4.632
0.000 0.000 0.000
0.000 4.124 0.000
3.118 0.000 2.927
3.118 4.124 2.927
```

Calculated values
Total energy (eV per atom): -5.975

***

(8)
A plane-wave DFT calculation with PBE was carried out for a relaxed structure of ScNiSnPd.

```
ScNiSnPd
1.0
0.000 3.219 3.219
3.219 0.000 3.219
3.219 3.219 0.000
Ni Pd Sc Sn
1 1 1 1
Cartesian
4.829 4.829 4.829
1.610 1.610 1.610
3.219 3.219 3.219
0.000 0.000 0.000
```

Calculated values
Total energy (eV per atom): -5.968

***

(9)
A plane-wave DFT calculation with PBE was carried out for a relaxed structure of Tm2SbS.

```
Tm2SbS
1.0
-3.411 0.111 2.317
-2.319 -0.082 -3.410
-0.065 -5.824 0.184
S Sb Tm
1 1 2
Cartesian
0.000 0.000 0.000
-2.898 -2.897 -0.455
-2.865 0.015 -0.547
-0.032 -2.912 0.092
```

Calculated values
Total energy (eV per atom): -5.687

***

(10)
A plane-wave DFT calculation with PBE was carried out for a relaxed structure of ZnInCuTc.

```
ZnInCuTc
1.0
0.468 -2.411 3.678
-3.571 -1.579 2.078
-0.865 -4.337 -0.074
Cu In Tc Zn
1 1 1 1
Cartesian
-2.976 -6.245 4.261
0.000 0.000 0.000
-1.984 -4.163 2.841
-0.992 -2.082 1.420
```

Calculated values
Total energy (eV per atom): -4.199

***

(11)
A plane-wave DFT calculation with PBE was carried out for a relaxed structure of HfNiAs.

```
HfNiAs
1.0
6.444 0.000 0.000
0.000 3.868 0.000
0.000 0.000 7.319
As Hf Ni
4 4 4
Cartesian
1.815 0.967 0.791
5.037 0.967 2.868
1.407 2.901 4.450
4.629 2.901 6.528
6.354 2.901 1.359
3.131 2.901 2.301
3.313 0.967 5.018
0.091 0.967 5.960
4.284 0.967 0.542
1.062 0.967 3.117
5.382 2.901 4.202
2.160 2.901 6.777
```

Calculated values
Total energy (eV per atom): -7.533

***

(12)
A plane-wave DFT calculation with PBE was carried out for a relaxed structure of NiPdPbAu.

```
NiPdPbAu
1.0
0.000 3.257 3.257
3.257 0.000 3.257
3.257 3.257 0.000
Au Ni Pb Pd
1 1 1 1
Cartesian
3.257 3.257 3.257
4.886 4.886 4.886
0.000 0.000 0.000
1.629 1.629 1.629
```

Calculated values
Total energy (eV per atom): -4.432

***

| no. | V (Å³/f.u.) |
| --- | --- |
| 1 | 154.3 |
| 2 | 266.4 |
| 3 | 192.8 |
| 4 | 224.6 |
| 5 | 109.3 |
| 6 | 197.7 |
| 7 | 75.3 |
| 8 | 66.7 |
| 9 | 99.2 |
| 10 | 61.2 |
| 11 | 45.6 |
| 12 | 69.1 |